MgZn2B: relaxed, PBE-GGA.

For the energy above the lowest structure with this stoichiometry, the calculation gives 173 meV per atom. For the total magnetization, the calculation gives 0.00 μB per cell. As for the formation energy: 0.70 eV per atom. Its total energy is -2.00 eV/atom. The calculation puts the density of states at the Fermi level at 1.9 states/eV/f.u.

It has space group Fm-3m (No. 225), with a = 6.078 Å, b = 6.078 Å, c = 6.078 Å, α = 90.00°, β = 90.00° and γ = 90.00°. The asymmetric unit holds Mg at (0.000, 0.000, 0.000), Zn at (0.250, 0.250, 0.250) and B at (0.000, 0.000, 0.500).